Entry 1:
First-principles (PBE) data for an optimized crystal structure of TiCo2PRu, as listed in Alexandria via LeMat-Bulk.

Cell: 4.533 4.533 4.320 Å, 90.00 90.00 90.00°
Positions (direct):
Ti 0.000 0.000 0.000
Co 0.000 0.500 0.500
Co 0.500 0.000 0.500
P 0.500 0.500 0.000
Ru 0.500 0.500 0.500

Properties
Energy relative to the elements ... 0.855 eV per atom
Space group ... P4/mmm

=====

Entry 2:
First-principles (PBE) data for an optimized crystal structure of TmCoP2Ru, as listed in Alexandria via LeMat-Bulk.

Cell: 5.529 5.529 5.529 Å, 138.93 138.93 59.48°
Positions (direct):
Tm 0.000 0.000 0.000
Co 0.750 0.250 0.500
P 0.380 0.380 0.000
P 0.620 0.620 0.000
Ru 0.250 0.750 0.500

Properties
Energy relative to the elements ... -0.984 eV per atom
Space group ... I-4m2

=====

Entry 3:
First-principles (PBE) data for an optimized crystal structure of UCoP2Ru2, as listed in Alexandria via LeMat-Bulk.

Cell: 4.287 4.287 5.156 Å, 90.00 90.00 90.00°
Positions (direct):
U 0.000 0.000 0.000
Co 0.000 0.000 0.500
P 0.000 0.500 0.500
P 0.500 0.000 0.500
Ru 0.500 0.500 0.242
Ru 0.500 0.500 0.758

Properties
Energy relative to the elements ... -0.057 eV per atom
Space group ... P4/mmm

=====

Entry 4:
First-principles (PBE) data for an optimized crystal structure of UCo2P2Ru, as listed in Alexandria via LeMat-Bulk.

Cell: 3.812 3.812 6.559 Å, 90.00 90.00 120.00°
Positions (direct):
U 0.000 0.000 0.000
Co 0.333 0.667 0.747
Co 0.667 0.333 0.253
P 0.333 0.667 0.298
P 0.667 0.333 0.702
Ru 0.000 0.000 0.500

Properties
Energy relative to the elements ... -0.602 eV per atom
Space group ... P-3m1

=====

Entry 5:
First-principles (PBE) data for an optimized crystal structure of UCoP2Ru, as listed in Alexandria via LeMat-Bulk.

Cell: 5.639 5.639 5.639 Å, 140.23 140.23 57.51°
Positions (direct):
U 0.000 0.000 0.000
Co 0.250 0.750 0.500
P 0.383 0.383 0.000
P 0.617 0.617 0.000
Ru 0.750 0.250 0.500

Properties
Energy relative to the elements ... -0.761 eV per atom
Space group ... I-4m2

=====

Entry 6:
First-principles (PBE) data for an optimized crystal structure of U2Co3P4Ru, as listed in Alexandria via LeMat-Bulk.

Cell: 3.961 3.961 9.081 Å, 90.00 90.00 90.00°
Positions (direct):
U 0.000 0.500 0.240
U 0.500 0.000 0.760
Co 0.000 0.500 0.889
Co 0.500 0.000 0.111
Co 0.500 0.500 0.500
P 0.000 0.000 0.000
P 0.000 0.500 0.643
P 0.500 0.000 0.357
P 0.500 0.500 0.000
Ru 0.000 0.000 0.500

Properties
Energy relative to the elements ... -0.821 eV per atom
Space group ... P-4m2

=====

Entry 7:
First-principles (PBE) data for an optimized crystal structure of VCo2PRu, as listed in Alexandria via LeMat-Bulk.

Cell: 4.106 4.106 4.348 Å, 90.00 90.00 90.00°
Positions (direct):
V 0.000 0.000 0.000
Co 0.000 0.500 0.000
Co 0.500 0.000 0.000
P 0.000 0.000 0.500
Ru 0.500 0.500 0.500

Properties
Energy relative to the elements ... 1.078 eV per atom
Space group ... P4/mmm

=====

Entry 8:
First-principles (PBE) data for an optimized crystal structure of CoP2RuW, as listed in Alexandria via LeMat-Bulk.

Cell: 4.388 4.388 4.947 Å, 90.00 90.00 90.00°
Positions (direct):
Co 0.000 0.000 0.000
P 0.000 0.500 0.500
P 0.500 0.000 0.500
Ru 0.500 0.500 0.500
W 0.500 0.500 0.000

Properties
Energy relative to the elements ... 1.479 eV per atom
Space group ... P4/mmm

=====

energy relative to the elements of number 4 (UCo2P2Ru)?
-0.602 eV per atom

=====

Look up the energy relative to the elements of the eighth one.
1.479 eV per atom

=====

Which value of energy relative to the elements does entry 6 give?
-0.821 eV per atom

=====

Which of these has the lowest energy relative to the elements?
TmCoP2Ru